1.
# CdBiOs2Cl

A geometry-optimized CdBiOs2Cl structure (PBE-GGA, the Alexandria database).

Results
symmetry	P4/mmm, No. 123
formation energy (no corrections)	10.548	eV per formula unit
DOS at the Fermi energy	3.09	states/eV/cell

Cell lengths 5.226, 5.226, 5.912 Å; angles 90.00, 90.00, 90.00 degrees
Fractional coordinates of all 5 atoms:
Cd (0.000, 0.000, 0.000)
Bi (0.000, 0.000, 0.500)
Os (0.000, 0.500, 0.500)
Os (0.500, 0.000, 0.500)
Cl (0.500, 0.500, 0.000)

=====

2.
# Hg3GePd6

A geometry-optimized Hg3GePd6 structure (PBE-GGA, the Alexandria database).

Results
symmetry	P2_1/m, No. 11
energy of formation from the pure elements	-0.242	eV per atom
DOS at the Fermi energy	7.35	states/eV/cell

Cell lengths 8.826, 4.151, 9.391 Å; angles 90.00, 96.79, 90.00 degrees
Fractional coordinates of all 20 atoms:
Hg (0.055, 0.250, 0.400)
Hg (0.165, 0.750, 0.210)
Hg (0.259, 0.250, 0.002)
Hg (0.741, 0.750, 0.998)
Hg (0.835, 0.250, 0.790)
Hg (0.945, 0.750, 0.600)
Ge (0.415, 0.250, 0.635)
Ge (0.585, 0.750, 0.365)
Pd (0.046, 0.750, 0.903)
Pd (0.146, 0.250, 0.703)
Pd (0.270, 0.750, 0.514)
Pd (0.344, 0.750, 0.812)
Pd (0.403, 0.250, 0.352)
Pd (0.453, 0.750, 0.112)
Pd (0.547, 0.250, 0.888)
Pd (0.597, 0.750, 0.648)
Pd (0.656, 0.250, 0.188)
Pd (0.730, 0.250, 0.486)
Pd (0.854, 0.750, 0.297)
Pd (0.954, 0.250, 0.097)

=====

3.
# BaCa2PuO6

A geometry-optimized BaCa2PuO6 structure (PBE-GGA, the Alexandria database).

Results
symmetry	R3, No. 146
formation energy (no corrections)	-28.168	eV per formula unit
DOS at the Fermi energy	8.31	states/eV/cell

Cell lengths 6.334, 6.334, 6.334 Å; angles 56.60, 56.60, 56.60 degrees
Fractional coordinates of all 10 atoms:
Ba (0.000, 0.000, 0.000)
Ca (0.264, 0.264, 0.264)
Ca (0.782, 0.782, 0.782)
Pu (0.471, 0.471, 0.471)
O (0.104, 0.628, 0.429)
O (0.223, 0.547, 0.838)
O (0.429, 0.104, 0.628)
O (0.547, 0.838, 0.223)
O (0.628, 0.429, 0.104)
O (0.838, 0.223, 0.547)

=====

4.
# Pm5AlGa3

A geometry-optimized Pm5AlGa3 structure (PBE-GGA, the Alexandria database).

Results
symmetry	P6_3/mcm, No. 193
energy of formation from the pure elements	-0.435	eV per atom
DOS at the Fermi energy	14.49	states/eV/cell

Cell lengths 9.138, 9.138, 6.523 Å; angles 90.00, 90.00, 120.00 degrees
Fractional coordinates of all 18 atoms:
Pm (0.000, 0.289, 0.250)
Pm (0.000, 0.711, 0.750)
Pm (0.289, 0.000, 0.250)
Pm (0.289, 0.289, 0.750)
Pm (0.333, 0.667, 0.000)
Pm (0.333, 0.667, 0.500)
Pm (0.667, 0.333, 0.000)
Pm (0.667, 0.333, 0.500)
Pm (0.711, 0.000, 0.750)
Pm (0.711, 0.711, 0.250)
Al (0.000, 0.000, 0.000)
Al (0.000, 0.000, 0.500)
Ga (0.000, 0.366, 0.750)
Ga (0.000, 0.634, 0.250)
Ga (0.366, 0.000, 0.750)
Ga (0.366, 0.366, 0.250)
Ga (0.634, 0.000, 0.250)
Ga (0.634, 0.634, 0.750)

=====

5.
# TbH4Pd2Pt

A geometry-optimized TbH4Pd2Pt structure (PBE-GGA, the Alexandria database).

Results
symmetry	C2, No. 5
DOS at the Fermi energy	2.09	states/eV/cell

Cell lengths 4.792, 4.792, 5.149 Å; angles 121.30, 121.30, 83.23 degrees
Fractional coordinates of all 8 atoms:
Tb (0.000, 0.000, 0.000)
H (0.105, 0.512, 0.023)
H (0.488, 0.098, 0.601)
H (0.488, 0.895, 0.977)
H (0.902, 0.512, 0.399)
Pd (0.499, 0.501, 0.000)
Pd (0.750, 0.250, 0.500)
Pt (0.251, 0.749, 0.500)

=====

6.
# Y4TlCo

A geometry-optimized Y4TlCo structure (PBE-GGA, the Alexandria database).

Results
ΔE to the lowest computed polymorph	0.000	eV per atom
symmetry	C2/c, No. 15
energy of formation from the pure elements	-0.226	eV per atom
DOS at the Fermi energy	11.75	states/eV/cell

Cell lengths 7.726, 7.726, 6.096 Å; angles 99.45, 99.45, 110.53 degrees
Fractional coordinates of all 12 atoms:
Y (0.056, 0.731, 0.956)
Y (0.201, 0.365, 0.604)
Y (0.269, 0.944, 0.544)
Y (0.365, 0.201, 0.104)
Y (0.635, 0.799, 0.896)
Y (0.731, 0.056, 0.456)
Y (0.799, 0.635, 0.396)
Y (0.944, 0.269, 0.044)
Tl (0.375, 0.625, 0.250)
Tl (0.625, 0.375, 0.750)
Co (0.000, 0.000, 0.250)
Co (0.000, 0.000, 0.750)

=====

7.
# InBr2O

A geometry-optimized InBr2O structure (PBE-GGA, the Alexandria database).

Results
ΔE to the lowest computed polymorph	1.348	eV per atom
symmetry	R-3m, No. 166
formation energy (no corrections)	2.072	eV per formula unit
DOS at the Fermi energy	2.14	states/eV/cell

Cell lengths 8.923, 8.923, 8.923 Å; angles 24.04, 24.04, 24.04 degrees
Fractional coordinates of all 4 atoms:
In (0.000, 0.000, 0.000)
Br (0.104, 0.104, 0.104)
Br (0.896, 0.896, 0.896)
O (0.500, 0.500, 0.500)

=====

8.
# CeYCdTc

A geometry-optimized CeYCdTc structure (PBE-GGA, the Alexandria database).

Results
symmetry	F-43m, No. 216
energy of formation from the pure elements	-0.038	eV per atom
DOS at the Fermi energy	5.27	states/eV/cell

Cell lengths 5.088, 5.088, 5.088 Å; angles 60.00, 60.00, 60.00 degrees
Fractional coordinates of all 4 atoms:
Ce (0.000, 0.000, 0.000)
Y (0.500, 0.500, 0.500)
Cd (0.250, 0.250, 0.250)
Tc (0.750, 0.750, 0.750)

=====

9.
# ReTe2Os

A geometry-optimized ReTe2Os structure (PBE-GGA, the Alexandria database).

Results
ΔE to the lowest computed polymorph	0.558	eV per atom
symmetry	I-42d, No. 122
formation energy (no corrections)	3.843	eV per formula unit
DOS at the Fermi energy	3.03	states/eV/cell

Cell lengths 7.264, 7.264, 7.264 Å; angles 131.96, 131.96, 70.29 degrees
Fractional coordinates of all 8 atoms:
Re (0.000, 0.000, 0.000)
Re (0.750, 0.250, 0.500)
Te (0.127, 0.625, 0.002)
Te (0.375, 0.377, 0.502)
Te (0.623, 0.125, 0.998)
Te (0.875, 0.873, 0.498)
Os (0.250, 0.750, 0.500)
Os (0.500, 0.500, 0.000)

=====

10.
# AlOsRu2

A geometry-optimized AlOsRu2 structure (PBE-GGA, the Alexandria database).

Results
symmetry	Cm, No. 8
energy of formation from the pure elements	-0.152	eV per atom
DOS at the Fermi energy	3.19	states/eV/cell

Cell lengths 4.970, 4.970, 4.671 Å; angles 113.42, 113.42, 32.51 degrees
Fractional coordinates of all 4 atoms:
Al (0.000, 0.000, 0.000)
Os (0.762, 0.762, 0.399)
Ru (0.249, 0.249, 0.906)
Ru (0.510, 0.510, 0.494)

=====

11.
# TeRu2W

A geometry-optimized TeRu2W structure (PBE-GGA, the Alexandria database).

Results
symmetry	C2/m, No. 12
formation energy (no corrections)	1.728	eV per formula unit
DOS at the Fermi energy	4.25	states/eV/cell

Cell lengths 4.737, 4.737, 4.930 Å; angles 98.51, 98.51, 37.56 degrees
Fractional coordinates of all 4 atoms:
Te (0.000, 0.000, 0.000)
Ru (0.237, 0.237, 0.720)
Ru (0.763, 0.763, 0.280)
W (0.500, 0.500, 0.500)

=====

12.
# La2Ge3PtRh4

A geometry-optimized La2Ge3PtRh4 structure (PBE-GGA, the Alexandria database).

Results
symmetry	P-4m2, No. 115
energy of formation from the pure elements	-0.827	eV per atom
DOS at the Fermi energy	6.85	states/eV/cell

Cell lengths 4.252, 4.252, 10.552 Å; angles 90.00, 90.00, 90.00 degrees
Fractional coordinates of all 10 atoms:
La (0.000, 0.500, 0.243)
La (0.500, 0.000, 0.757)
Ge (0.000, 0.000, 0.000)
Ge (0.000, 0.500, 0.623)
Ge (0.500, 0.000, 0.377)
Pt (0.500, 0.500, 0.000)
Rh (0.000, 0.000, 0.500)
Rh (0.000, 0.500, 0.853)
Rh (0.500, 0.000, 0.147)
Rh (0.500, 0.500, 0.500)

=====

13.
# Zn2BiO

A geometry-optimized Zn2BiO structure (PBE-GGA, the Alexandria database).

Results
ΔE to the lowest computed polymorph	0.000	eV per atom
symmetry	I-42d, No. 122
formation energy (no corrections)	-1.784	eV per formula unit
DOS at the Fermi energy	2.74	states/eV/cell

Cell lengths 6.506, 6.506, 6.506 Å; angles 129.15, 129.15, 74.77 degrees
Fractional coordinates of all 8 atoms:
Zn (0.005, 0.625, 0.880)
Zn (0.375, 0.255, 0.380)
Zn (0.745, 0.125, 0.120)
Zn (0.875, 0.995, 0.620)
Bi (0.250, 0.750, 0.500)
Bi (0.500, 0.500, 0.000)
O (0.000, 0.000, 0.000)
O (0.750, 0.250, 0.500)

=====

14.
# SmPuF2

A geometry-optimized SmPuF2 structure (PBE-GGA, the Alexandria database).

Results
symmetry	R-3m, No. 166
formation energy (no corrections)	-8.473	eV per formula unit
DOS at the Fermi energy	6.92	states/eV/cell

Cell lengths 7.974, 7.974, 7.974 Å; angles 26.52, 26.52, 26.52 degrees
Fractional coordinates of all 4 atoms:
Sm (0.000, 0.000, 0.000)
Pu (0.500, 0.500, 0.500)
F (0.100, 0.100, 0.100)
F (0.900, 0.900, 0.900)

=====

15.
# La2TlAg3

A geometry-optimized La2TlAg3 structure (PBE-GGA, the Alexandria database).

Results
ΔE to the lowest computed polymorph	0.000	eV per atom
symmetry	Fmmm, No. 69
energy of formation from the pure elements	-0.301	eV per atom
DOS at the Fermi energy	10.17	states/eV/cell

Cell lengths 10.003, 9.366, 6.129 Å; angles 77.30, 65.99, 36.71 degrees
Fractional coordinates of all 12 atoms:
La (0.243, 0.757, 0.757)
La (0.250, 0.250, 0.250)
La (0.750, 0.750, 0.750)
La (0.757, 0.243, 0.243)
Tl (0.334, 0.334, 0.666)
Tl (0.666, 0.666, 0.334)
Ag (0.165, 0.165, 0.835)
Ag (0.165, 0.671, 0.329)
Ag (0.329, 0.835, 0.165)
Ag (0.671, 0.165, 0.835)
Ag (0.835, 0.329, 0.671)
Ag (0.835, 0.835, 0.165)

=====

16.
# MgTlO2F

A geometry-optimized MgTlO2F structure (PBE-GGA, the Alexandria database).

Results
symmetry	P4/mmm, No. 123
formation energy (no corrections)	-4.459	eV per formula unit
DOS at the Fermi energy	0.78	states/eV/cell

Cell lengths 4.296, 4.296, 4.367 Å; angles 90.00, 90.00, 90.00 degrees
Fractional coordinates of all 5 atoms:
Mg (0.000, 0.000, 0.000)
Tl (0.500, 0.500, 0.500)
O (0.000, 0.500, 0.500)
O (0.500, 0.000, 0.500)
F (0.500, 0.500, 0.000)

=====

These records have VASP energy values of -3.711, -3.910, -7.818, -4.500, -4.769, -6.114, -2.243, -5.958, -6.530, -8.533, -8.230, -6.743, -3.293, -7.817, -3.763, -4.042 eV/atom, in the order they appear.